Density functional theory data (PBE+U) for a relaxed structure of Na3SiNiCO7.

Cell: 6.5368 5.2131 8.9945 Å, 88.38 90.00 90.00°
Last column: nearest neighbours and their distance in Å.
Fractional coordinates of all 26 atoms:
Na 0.7500 0.2286 0.9152  6 O 2.41-2.69
Na 0.9917 0.7462 0.7302  4 O 2.26-2.48
Na 0.5083 0.7462 0.7302  4 O 2.26-2.48
Na 0.4917 0.2538 0.2698  4 O 2.26-2.48
Na 0.0083 0.2538 0.2698  4 O 2.26-2.48
Na 0.2500 0.7714 0.0848  6 O 2.41-2.69
Si 0.7500 0.2861 0.5770  4 O 1.62-1.68
Si 0.2500 0.7139 0.4230  4 O 1.62-1.68
Ni 0.2500 0.2205 0.6491  4 O 1.89-2.00
Ni 0.7500 0.7795 0.3509  4 O 1.89-2.00
C 0.2500 0.2833 0.9387  3 O 1.29-1.31
C 0.7500 0.7167 0.0613  3 O 1.29-1.31
O 0.7500 0.7130 0.9179  1 C 1.29
O 0.2500 0.0636 0.8720  1 C 1.31
O 0.2500 0.4924 0.8576  1 C 1.30
O 0.9490 0.2268 0.6861  1 Si 1.65
O 0.5510 0.2268 0.6861  1 Si 1.65
O 0.7500 0.6022 0.5373  1 Si 1.68
O 0.2500 0.8664 0.5772  1 Si 1.62
O 0.7500 0.1336 0.4228  1 Si 1.62
O 0.2500 0.3978 0.4627  1 Si 1.68
O 0.4490 0.7732 0.3139  1 Si 1.65
O 0.0510 0.7732 0.3139  1 Si 1.65
O 0.7500 0.5076 0.1424  1 C 1.30
O 0.7500 0.9364 0.1280  1 C 1.31
O 0.2500 0.2870 0.0821  1 C 1.29

Its crystal system is monoclinic. The total DFT energy (no corrections) comes out at -6.05 eV/atom. As for the symmetry: No. 11.